Record 1
A plane-wave DFT calculation with PBE was carried out for crystalline La8InIr3I4 at its relaxed geometry.

Structure (CIF):
```
data_La8InIr3I4
_cell_length_a 8.7307
_cell_length_b 9.6404
_cell_length_c 8.7346
_cell_angle_alpha 116.96
_cell_angle_beta 119.99
_cell_angle_gamma 90.00
_symmetry_space_group_name_H-M 'P 1'
_symmetry_Int_Tables_number 1
_symmetry_space_group_name_Hall 'P 1'
loop_
_atom_site_label
_atom_site_type_symbol
_atom_site_fract_x
_atom_site_fract_y
_atom_site_fract_z
La1 La 0.7572 0.3110 0.5144
La2 La 0.7307 0.6908 0.4613
La3 La 0.2428 0.6890 0.4856
La4 La 0.7568 0.3110 0.0532
La5 La 0.2432 0.6890 0.9468
La6 La 0.7036 0.6890 0.9468
La7 La 0.2693 0.3092 0.5387
La8 La 0.2964 0.3110 0.0532
I1 I 0.5000 0.0000 0.0000
I2 I 0.0000 0.0000 0.5000
I3 I 0.5000 0.0000 0.5000
I4 I 0.0000 0.0000 0.0000
Ir1 Ir 0.5000 0.5000 0.0000
Ir2 Ir 0.5000 0.5000 0.5000
Ir3 Ir 0.0000 0.5000 0.5000
In1 In 0.0000 0.5000 0.0000
```

## Properties
Its density of states at the Fermi level is 0.8471 states/eV/atom. The value obtained for the total energy is -90.53 eV for the cell shown. The symmetry is No. 12. Its uncorrected formation energy is -0.975 eV/atom.



Record 2
A plane-wave DFT calculation with PBE was carried out for crystalline MgTi at its relaxed geometry.

Structure (CIF):
```
data_MgTi
_cell_length_a 5.2809
_cell_length_b 5.2809
_cell_length_c 5.2228
_cell_angle_alpha 73.10
_cell_angle_beta 73.10
_cell_angle_gamma 33.51
_symmetry_space_group_name_H-M 'P 1'
_symmetry_Int_Tables_number 1
_symmetry_space_group_name_Hall 'P 1'
loop_
_atom_site_label
_atom_site_type_symbol
_atom_site_fract_x
_atom_site_fract_y
_atom_site_fract_z
Mg1 Mg 0.3769 0.3769 0.9137
Mg2 Mg 0.6231 0.6231 0.0863
Ti1 Ti 0.8674 0.8674 0.4338
Ti2 Ti 0.1326 0.1326 0.5662
```

## Properties
Its density of states at the Fermi level is 0.8838 states/eV/atom. The value obtained for the total energy is -18.40 eV for the cell shown. The symmetry is No. 12. For the formation energy, the calculation gives 0.144 eV/atom.